Run A
Entry from Alexandria: a geometry-optimized RbBaSn2 structure (GGA-PBE).

```
RbBaSn2
1.0
-3.721 -3.095 -6.598
-2.803 -5.026 3.938
-8.798 6.431 1.945
Rb Ba Sn
4 4 8
Direct
0.750 0.007 0.273
0.750 0.507 0.227
0.250 0.993 0.727
0.250 0.493 0.773
0.750 0.641 0.873
0.750 0.141 0.627
0.250 0.359 0.127
0.250 0.859 0.373
0.927 0.666 0.558
0.573 0.166 0.942
0.427 0.334 0.442
0.073 0.834 0.058
0.073 0.334 0.442
0.427 0.834 0.058
0.573 0.666 0.558
0.927 0.166 0.942
```

* theoretical density: 4839 kg/m3

Run B
Entry from Alexandria: a geometry-optimized RbBaSn2 structure (GGA-PBE).

```
RbBaSn2
1.0
9.869 0.000 0.000
0.000 9.869 0.000
4.935 4.935 3.358
Ba Rb Sn
2 2 4
Direct
0.000 0.000 0.000
0.750 0.250 0.500
0.500 0.500 0.000
0.250 0.750 0.500
0.632 0.125 0.250
0.118 0.625 0.250
0.375 0.368 0.750
0.875 0.882 0.750
```

* theoretical density: 4674 kg/m3

Verdict on stability: run B comes out at the bottom.